# 1
Entry from Alexandria via LeMat-Bulk: a relaxed structure of ReIF (GGA-PBE).

- Formation energy (no corrections): -2.11 eV/f.u.
- Spin magnetization: 0.0 μB/cell
- Theoretical density: 7.845 g cm⁻³
- Crystal system: triclinic

a = 3.5299 Å, b = 5.4239 Å, c = 7.9177 Å
α = 72.34°, β = 77.38°, γ = 89.99°
With the nearest neighbours (Å) after each atom.
Space group P-1 (No. 2)
Unique sites:
Re (0.2217, 0.3503, 0.0580) x2  1 F 1.93
I (0.3615, 0.1668, 0.7724) x2  1 Re 2.69
F (0.0951, 0.2982, 0.3168) x2  1 Re 1.93



# 2
Entry from Alexandria via LeMat-Bulk: a relaxed structure of ReIF2 (GGA-PBE).

- Formation energy (no corrections): -2.81 eV/f.u.
- Spin magnetization: 0.0 μB/cell
- Theoretical density: 7.325 g cm⁻³
- Crystal system: trigonal
- Polymorph energy (0 for the lowest one): 0 meV per atom

a = 2.9732 Å, b = 2.9732 Å, c = 31.1907 Å
α = 90.00°, β = 90.00°, γ = 120.00°
With the nearest neighbours (Å) after each atom.
Space group R-3m (No. 166, hexagonal axes)
Unique sites:
Re (0.0000, 0.0000, 0.0000) x3  2 F 1.89
I (0.0000, 0.0000, 0.5000) x3  6 I 2.97
F (0.0000, 0.0000, 0.0605) x6  1 Re 1.89



# 3
Entry from Alexandria via LeMat-Bulk: a relaxed structure of ReSb2IF (GGA-PBE).

- Formation energy (no corrections): 4.38 eV/f.u.
- Spin magnetization: 2.7 μB/cell
- Theoretical density: 8.050 g cm⁻³
- Crystal system: tetragonal
- Polymorph energy (0 for the lowest one): 557 meV per atom

a = 4.6377 Å, b = 4.6377 Å, c = 5.5209 Å
α = 90.00°, β = 90.00°, γ = 90.00°
With the nearest neighbours (Å) after each atom.
Space group P4/mmm (No. 123)
Unique sites:
Re (0.0000, 0.0000, 0.0000) x1  4 I 3.28, 8 Sb 3.61
Sb (0.0000, 0.5000, 0.5000) x2  2 F 2.32
I (0.5000, 0.5000, 0.0000) x1  2 F 2.76
F (0.5000, 0.5000, 0.5000) x1  4 Sb 2.32



# 4
Entry from Alexandria via LeMat-Bulk: a relaxed structure of ReSb2IF (GGA-PBE).

- Formation energy (no corrections): 1.59 eV/f.u.
- Spin magnetization: 0.0 μB/cell
- Theoretical density: 6.566 g cm⁻³
- Crystal system: tetragonal
- Polymorph energy (0 for the lowest one): 0 meV per atom

a = 5.1025 Å, b = 5.1025 Å, c = 5.5916 Å
α = 90.00°, β = 90.00°, γ = 90.00°
With the nearest neighbours (Å) after each atom.
Space group P4/mmm (No. 123)
Unique sites:
Re (0.0000, 0.0000, 0.0000) x1  4 Sb 2.55, 2 I 2.80
Sb (0.0000, 0.5000, 0.0000) x2  2 Re 2.55
I (0.0000, 0.0000, 0.5000) x1  2 Re 2.80
F (0.5000, 0.5000, 0.5000) x1  4 I 3.61, 8 Sb 3.78



# 5
Entry from Alexandria via LeMat-Bulk: a relaxed structure of TaReIF2 (GGA-PBE).

- Formation energy (no corrections): 2.38 eV/f.u.
- Spin magnetization: 1.5 μB/cell
- Theoretical density: 9.065 g cm⁻³
- Crystal system: tetragonal

a = 4.1078 Å, b = 4.1078 Å, c = 5.7762 Å
α = 90.00°, β = 90.00°, γ = 90.00°
With the nearest neighbours (Å) after each atom.
Space group P4/mmm (No. 123)
Unique sites:
Ta (0.0000, 0.0000, 0.0000) x1  4 I 2.90
Re (0.5000, 0.5000, 0.5000) x1  4 F 2.05
I (0.5000, 0.5000, 0.0000) x1  2 Re 2.89, 4 Ta 2.90
F (0.0000, 0.5000, 0.5000) x2  2 Re 2.05



# 6
Entry from Alexandria via LeMat-Bulk: a relaxed structure of Re2TcIF (GGA-PBE).

- Formation energy (no corrections): 13.81 eV/f.u.
- Spin magnetization: 0.0 μB/cell
- Theoretical density: 8.947 g cm⁻³
- Crystal system: tetragonal

a = 4.8554 Å, b = 4.8554 Å, c = 4.8517 Å
α = 90.00°, β = 90.00°, γ = 90.00°
With the nearest neighbours (Å) after each atom.
Space group P4/mmm (No. 123)
Unique sites:
Re (0.0000, 0.5000, 0.0000) x2  2 I 2.43
Tc (0.0000, 0.0000, 0.5000) x1  2 I 2.43
I (0.0000, 0.0000, 0.0000) x1  2 Tc 2.43, 4 Re 2.43
F (0.5000, 0.5000, 0.5000) x1  8 Re 3.43, 4 Tc 3.43



# 7
Entry from Alexandria via LeMat-Bulk: a relaxed structure of ReTeI2F (GGA-PBE).

- Formation energy (no corrections): 5.00 eV/f.u.
- Spin magnetization: 4.6 μB/cell
- Theoretical density: 6.572 g cm⁻³
- Crystal system: tetragonal
- Polymorph energy (0 for the lowest one): 605 meV per atom

a = 5.9072 Å, b = 5.9072 Å, c = 4.2479 Å
α = 90.00°, β = 90.00°, γ = 90.00°
With the nearest neighbours (Å) after each atom.
Space group P4/mmm (No. 123)
Unique sites:
Re (0.0000, 0.0000, 0.0000) x1  8 I 3.64
Te (0.5000, 0.5000, 0.0000) x1  2 F 2.12
I (0.0000, 0.5000, 0.5000) x2  2 F 2.95
F (0.5000, 0.5000, 0.5000) x1  2 Te 2.12



# 8
Entry from Alexandria via LeMat-Bulk: a relaxed structure of ReTeI2F (GGA-PBE).

- Formation energy (no corrections): 1.98 eV/f.u.
- Spin magnetization: 0.0 μB/cell
- Theoretical density: 6.375 g cm⁻³
- Crystal system: tetragonal
- Polymorph energy (0 for the lowest one): 0 meV per atom

a = 5.4805 Å, b = 5.4805 Å, c = 5.0868 Å
α = 90.00°, β = 90.00°, γ = 90.00°
With the nearest neighbours (Å) after each atom.
Space group P4/mmm (No. 123)
Unique sites:
Re (0.0000, 0.0000, 0.0000) x1  2 Te 2.54, 4 I 2.74
Te (0.0000, 0.0000, 0.5000) x1  2 Re 2.54
I (0.0000, 0.5000, 0.0000) x2  2 Re 2.74
F (0.5000, 0.5000, 0.5000) x1  8 I 3.74, 4 Te 3.88



# 9
Entry from Alexandria via LeMat-Bulk: a relaxed structure of Tl3ReI2F6 (GGA-PBE).

- Formation energy (no corrections): -19.12 eV/f.u.
- Spin magnetization: 4.1 μB/cell
- Theoretical density: 5.276 g cm⁻³
- Crystal system: monoclinic

a = 17.0278 Å, b = 7.9752 Å, c = 5.4286 Å
α = 90.00°, β = 94.73°, γ = 90.00°
With the nearest neighbours (Å) after each atom.
Space group C2/m (No. 12)
Unique sites:
Tl (0.0000, 0.0000, 0.0000) x2  4 F 2.99
Tl (0.2500, 0.2500, 0.5000) x4  2 F 3.08
Re (0.0000, 0.5000, 0.5000) x2  6 F 1.92-1.95
I (0.1983, 0.0000, 0.9866) x4  5 Tl 3.38-3.48
F (0.0190, 0.3265, 0.7418) x8  1 Re 1.92
F (0.1119, 0.5000, 0.4491) x4  1 Re 1.95



# 10
Entry from Alexandria via LeMat-Bulk: a relaxed structure of Rh3IF (GGA-PBE).

- Formation energy (no corrections): 3.83 eV/f.u.
- Spin magnetization: 4.2 μB/cell
- Theoretical density: 8.603 g cm⁻³
- Crystal system: cubic

a = 4.4437 Å, b = 4.4437 Å, c = 4.4437 Å
α = 90.00°, β = 90.00°, γ = 90.00°
With the nearest neighbours (Å) after each atom.
Space group Pm-3m (No. 221)
Unique sites:
Rh (0.0000, 0.0000, 0.5000) x3  2 F 2.22
I (0.5000, 0.5000, 0.5000) x1  12 Rh 3.14
F (0.0000, 0.0000, 0.0000) x1  6 Rh 2.22



# 11
Entry from Alexandria via LeMat-Bulk: a relaxed structure of RhI2F (GGA-PBE).

- Formation energy (no corrections): -0.76 eV/f.u.
- Spin magnetization: 0.0 μB/cell
- Theoretical density: 6.029 g cm⁻³
- Crystal system: tetragonal
- Polymorph energy (0 for the lowest one): 394 meV per atom

a = 7.0185 Å, b = 7.0185 Å, c = 8.4031 Å
α = 90.00°, β = 90.00°, γ = 90.00°
With the nearest neighbours (Å) after each atom.
Space group I-42d (No. 122)
Unique sites:
Rh (0.0000, 0.0000, 0.0000) x4  4 I 2.56
I (0.2196, 0.7500, 0.1250) x8  2 Rh 2.56, 2 F 2.84
F (0.0000, 0.0000, 0.5000) x4  4 I 2.84



# 12
Entry from Alexandria via LeMat-Bulk: a relaxed structure of RhI2F (GGA-PBE).

- Formation energy (no corrections): -0.36 eV/f.u.
- Spin magnetization: 0.8 μB/cell
- Theoretical density: 8.020 g cm⁻³
- Crystal system: cubic
- Polymorph energy (0 for the lowest one): 493 meV per atom

a = 6.7765 Å, b = 6.7765 Å, c = 6.7765 Å
α = 90.00°, β = 90.00°, γ = 90.00°
With the nearest neighbours (Å) after each atom.
Space group Fm-3m (No. 225)
Unique sites:
Rh (0.0000, 0.0000, 0.0000) x4  8 I 2.93
I (0.2500, 0.2500, 0.2500) x8  4 F 2.93, 4 Rh 2.93
F (0.0000, 0.0000, 0.5000) x4  8 I 2.93